# 1
Density functional theory data (PBE) for a relaxed CaTb2Pr6Y crystal.

Summary:
Formation energy from the elements   0.1254 eV/atom
Final energy   -0.3318 Ry per atom

a = 9.274 Å, b = 15.677 Å, c = 9.961 Å
α = 90.00°, β = 98.58°, γ = 90.00°
Space group C2/c (No. 15)
Unique sites:
Ca: 0.000 0.098 0.250 x4
Tb: 0.248 0.450 0.043 x8
Pr: 0.059 0.324 0.448 x8
Pr: 0.108 0.105 0.623 x8
Pr: 0.202 0.271 0.822 x8
Y: 0.000 0.474 0.750 x4

***

# 2
Density functional theory data (PBE) for a relaxed CaTbPrZn crystal.

Summary:
Formation energy from the elements   -0.1299 eV/atom
Final energy   -0.2426 Ry per atom

a = 3.609 Å, b = 3.609 Å, c = 9.292 Å
α = 90.00°, β = 90.00°, γ = 90.00°
Space group P4mm (No. 99)
Unique sites:
Ca: 0.000 0.000 0.000 x1
Tb: 0.000 0.000 0.394 x1
Pr: 0.500 0.500 0.673 x1
Zn: 0.500 0.500 0.210 x1

***

# 3
Density functional theory data (PBE) for a relaxed CaPr4Tc crystal.

Summary:
Formation energy from the elements   0.0897 eV/atom
Final energy   -0.3791 Ry per atom

a = 6.371 Å, b = 7.772 Å, c = 16.788 Å
α = 90.00°, β = 90.00°, γ = 90.00°
Space group Immm (No. 71)
Unique sites:
Ca: 0.000 0.000 0.200 x4
Pr: 0.000 0.212 0.000 x4
Pr: 0.000 0.242 0.392 x8
Pr: 0.000 0.500 0.169 x4
Tc: 0.245 0.000 0.500 x4

***

# 4
Density functional theory data (PBE) for a relaxed CaPr3Tc crystal.

Summary:
Formation energy from the elements   0.1173 eV/atom
Final energy   -0.3839 Ry per atom

a = 5.613 Å, b = 5.613 Å, c = 5.613 Å
α = 90.00°, β = 90.00°, γ = 90.00°
Space group Pm-3m (No. 221)
Unique sites:
Ca: 0.000 0.000 0.000 x1
Pr: 0.000 0.500 0.500 x3
Tc: 0.500 0.500 0.500 x1

***

# 5
Density functional theory data (PBE) for a relaxed Ca6PrTe8 crystal.

Summary:
Final energy   -0.3160 Ry per atom
Formation energy from raw total energies   -1.505 eV per atom

a = 12.760 Å, b = 12.760 Å, c = 12.760 Å
α = 90.00°, β = 90.00°, γ = 90.00°
Space group Fm-3m (No. 225)
Unique sites:
Ca: 0.000 0.250 0.250 x24
Pr: 0.000 0.000 0.000 x4
Te: 0.000 0.000 0.251 x24
Te: 0.250 0.250 0.250 x8

***

# 6
Density functional theory data (PBE) for a relaxed Ca2PrTe3 crystal.

Summary:
Final energy   -0.3371 Ry per atom
Formation energy from raw total energies   -1.552 eV per atom

a = 4.488 Å, b = 6.404 Å, c = 13.606 Å
α = 90.00°, β = 90.00°, γ = 90.00°
Space group Immm (No. 71)
Unique sites:
Ca: 0.000 0.000 0.167 x4
Pr: 0.000 0.000 0.500 x2
Te: 0.000 0.500 0.170 x4
Te: 0.000 0.500 0.500 x2

***

# 7
Density functional theory data (PBE) for a relaxed CaPrTe2 crystal.

Summary:
Final energy   -0.3519 Ry per atom
Relative energy among the computed polymorphs   0 meV per atom
Formation energy from raw total energies   -1.522 eV per atom

a = 4.4722 Å, b = 4.4722 Å, c = 22.5861 Å
α = 90.00°, β = 90.00°, γ = 120.00°
Space group R-3m (No. 166, hexagonal axes)
Unique sites:
Ca: 0.0000 0.0000 0.0000 x3
Pr: 0.0000 0.0000 0.5000 x3
Te: 0.0000 0.0000 0.2525 x6

***

# 8
Density functional theory data (PBE) for a relaxed Ca3Pr4Te8 crystal.

Summary:
Final energy   -0.3584 Ry per atom
Formation energy from raw total energies   -1.526 eV per atom

a = 12.743 Å, b = 12.764 Å, c = 9.020 Å
α = 90.00°, β = 134.79°, γ = 90.00°
Space group C2/m (No. 12)
Unique sites:
Ca: 0.000 0.000 0.000 x2
Ca: 0.250 0.250 0.000 x4
Pr: 0.000 0.500 0.000 x2
Pr: 0.000 0.500 0.500 x2
Pr: 0.250 0.250 0.500 x4
Te: 0.000 0.247 0.500 x4
Te: 0.000 0.248 0.000 x4
Te: 0.244 0.000 0.497 x4
Te: 0.248 0.000 0.997 x4

***

# 9
Density functional theory data (PBE) for a relaxed CaPrTe2 crystal.

Summary:
Final energy   -0.3479 Ry per atom
Relative energy among the computed polymorphs   55 meV per atom
Formation energy from raw total energies   -1.467 eV per atom

a = 4.4133 Å, b = 4.4133 Å, c = 15.6399 Å
α = 90.00°, β = 90.00°, γ = 120.00°
Space group P6_3/mmc (No. 194)
Unique sites:
Ca: 0.3333 0.6667 0.2500 x2
Pr: 0.0000 0.0000 0.0000 x2
Te: 0.3333 0.6667 0.6256 x4

***

# 10
Density functional theory data (PBE) for a relaxed CaPrTe2 crystal.

Summary:
Final energy   -0.3469 Ry per atom
Relative energy among the computed polymorphs   68 meV per atom
Formation energy from raw total energies   -1.454 eV per atom

a = 4.3887 Å, b = 4.3887 Å, c = 23.8472 Å
α = 90.00°, β = 90.00°, γ = 120.00°
Space group R3m (No. 160, hexagonal axes)
Unique sites:
Ca: 0.0000 0.0000 0.0000 x3
Pr: 0.0000 0.0000 0.1715 x3
Te: 0.0000 0.0000 0.5873 x3
Te: 0.0000 0.0000 0.7531 x3

***

# 11
Density functional theory data (PBE) for a relaxed CaPr6Te8 crystal.

Summary:
Final energy   -0.3830 Ry per atom
Formation energy from raw total energies   -1.490 eV per atom

a = 12.790 Å, b = 12.790 Å, c = 12.790 Å
α = 90.00°, β = 90.00°, γ = 90.00°
Space group Fm-3m (No. 225)
Unique sites:
Ca: 0.000 0.000 0.000 x4
Pr: 0.000 0.250 0.250 x24
Te: 0.000 0.000 0.251 x24
Te: 0.250 0.250 0.250 x8

***

# 12
Density functional theory data (PBE) for a relaxed Ca2Pr3Te6 crystal.

Summary:
Final energy   -0.3604 Ry per atom
Formation energy from raw total energies   -1.522 eV per atom

a = 7.805 Å, b = 13.511 Å, c = 7.863 Å
α = 90.00°, β = 109.29°, γ = 90.00°
Space group C2/m (No. 12)
Unique sites:
Ca: 0.000 0.167 0.000 x4
Pr: 0.000 0.000 0.500 x2
Pr: 0.000 0.334 0.500 x4
Te: 0.249 0.000 0.245 x4
Te: 0.249 0.334 0.246 x8